(1)
A plane-wave DFT calculation with PBE-GGA was carried out for a geometry-optimized NbTcPO2 structure.

Results
* VASP energy: -39.57 eV/cell
* total magnetization: 3.99 μB per formula unit
* mass density: 5.2 g/cm3
* E_form (uncorrected): -762 meV/atom
* ΔE to the lowest computed polymorph: 0 meV per atom

abc: 3.8760 3.8760 5.3929
angles: 90.00 90.00 90.00
Closest atoms and distances in Å follow each position.
Fractional positions:
P1 0.0000 0.0000 0.5000  2 Nb 2.70, 4 Tc 2.74
Nb1 0.0000 0.0000 0.0000  4 O 1.94
Tc1 0.5000 0.5000 0.5000  4 P 2.74
O1 0.0000 0.5000 0.0000  2 Nb 1.94
O2 0.5000 0.0000 0.0000  2 Nb 1.94


(2)
A plane-wave DFT calculation with PBE-GGA was carried out for a geometry-optimized Nb2TcPO structure.

Results
* VASP energy: -39.58 eV/cell
* total magnetization: 0.00 μB per formula unit
* mass density: 6.9 g/cm3
* E_form (uncorrected): 259 meV/atom

abc: 4.8632 3.3564 4.8632
angles: 90.00 90.00 90.00
Closest atoms and distances in Å follow each position.
Fractional positions:
P1 0.0000 0.0000 0.0000  2 O 1.68
Nb1 0.0000 0.0000 0.5000  2 P 2.43
Nb2 0.5000 0.0000 0.0000  2 P 2.43
Tc1 0.5000 0.5000 0.5000  8 Nb 2.95
O1 0.0000 0.5000 0.0000  2 P 1.68


(3)
A plane-wave DFT calculation with PBE-GGA was carried out for a geometry-optimized NbTeP2O structure.

Results
* VASP energy: -30.84 eV/cell
* total magnetization: 0.00 μB per formula unit
* mass density: 5.1 g/cm3
* E_form (uncorrected): -370 meV/atom
* ΔE to the lowest computed polymorph: 0 meV per atom

abc: 5.0214 5.0214 3.8855
angles: 90.00 90.00 90.00
Closest atoms and distances in Å follow each position.
Fractional positions:
P1 0.0000 0.5000 0.0000  2 Nb 2.51
P2 0.5000 0.0000 0.0000  2 Nb 2.51
Nb1 0.0000 0.0000 0.0000  2 O 1.94
Te1 0.5000 0.5000 0.5000  8 P 3.17, 4 O 3.55
O1 0.0000 0.0000 0.5000  2 Nb 1.94


(4)
A plane-wave DFT calculation with PBE-GGA was carried out for a geometry-optimized NbTeP2O structure.

Results
* VASP energy: -25.72 eV/cell
* total magnetization: 1.65 μB per formula unit
* mass density: 5.1 g/cm3
* E_form (uncorrected): 653 meV/atom
* ΔE to the lowest computed polymorph: 1023 meV per atom

abc: 5.0163 5.0163 3.8628
angles: 90.00 90.00 90.00
Closest atoms and distances in Å follow each position.
Fractional positions:
P1 0.0000 0.5000 0.0000  2 Te 2.51
P2 0.5000 0.0000 0.0000  2 Te 2.51
Nb1 0.5000 0.5000 0.5000  8 P 3.17
Te1 0.0000 0.0000 0.0000  2 O 1.93
O1 0.0000 0.0000 0.5000  2 Te 1.93


(5)
A plane-wave DFT calculation with PBE-GGA was carried out for a geometry-optimized TiNbPO2 structure.

Results
* VASP energy: -39.77 eV/cell
* total magnetization: 1.56 μB per formula unit
* mass density: 4.2 g/cm3
* E_form (uncorrected): -1296 meV/atom
* ΔE to the lowest computed polymorph: 0 meV per atom

abc: 3.8869 3.8869 5.2996
angles: 90.00 90.00 90.00
Closest atoms and distances in Å follow each position.
Fractional positions:
P1 0.0000 0.0000 0.5000  2 Nb 2.65, 4 Ti 2.75
Nb1 0.0000 0.0000 0.0000  4 O 1.94
O1 0.0000 0.5000 0.0000  2 Nb 1.94
O2 0.5000 0.0000 0.0000  2 Nb 1.94
Ti1 0.5000 0.5000 0.5000  4 P 2.75


(6)
A plane-wave DFT calculation with PBE-GGA was carried out for a geometry-optimized TiNbP3O12 structure.

Results
* VASP energy: -271.49 eV/cell
* total magnetization: 0.00 μB per formula unit
* mass density: 2.9 g/cm3
* E_form (uncorrected): -2474 meV/atom

abc: 8.9845 8.9845 8.9845
angles: 57.95 57.95 57.95
Closest atoms and distances in Å follow each position.
Fractional positions:
Ti1 0.3580 0.3580 0.3580  6 O 1.93-1.98
Ti2 0.8580 0.8580 0.8580  6 O 1.93-1.98
Nb1 0.6404 0.6404 0.6404  6 O 1.97-2.01
Nb2 0.1404 0.1404 0.1404  6 O 1.97-2.01
P1 0.9742 0.5360 0.2419  4 O 1.52-1.56
P2 0.2419 0.9742 0.5360  4 O 1.52-1.56
P3 0.5360 0.2419 0.9742  4 O 1.52-1.56
P4 0.7419 0.0360 0.4742  4 O 1.52-1.56
P5 0.4742 0.7419 0.0360  4 O 1.52-1.56
P6 0.0360 0.4742 0.7419  4 O 1.52-1.56
O1 0.1433 0.5050 0.2695  1 P 1.52
O2 0.2695 0.1433 0.5050  1 P 1.52
O3 0.5050 0.2695 0.1433  1 P 1.52
O4 0.7695 0.0050 0.6433  1 P 1.52
O5 0.6433 0.7695 0.0050  1 P 1.52
O6 0.0050 0.6433 0.7695  1 P 1.52
O7 0.8626 0.4970 0.7234  1 P 1.55
O8 0.7234 0.8626 0.4970  1 P 1.55
O9 0.4970 0.7234 0.8626  1 P 1.55
O10 0.2234 0.9970 0.3626  1 P 1.55
O11 0.3626 0.2234 0.9970  1 P 1.55
O12 0.9970 0.3626 0.2234  1 P 1.55
O13 0.2093 0.4417 0.5699  1 P 1.53
O14 0.5699 0.2093 0.4417  1 P 1.53
O15 0.4417 0.5699 0.2093  1 P 1.53
O16 0.0699 0.9417 0.7093  1 P 1.53
O17 0.7093 0.0699 0.9417  1 P 1.53
O18 0.9417 0.7093 0.0699  1 P 1.53
O19 0.7952 0.5652 0.4175  1 P 1.56
O20 0.4175 0.7952 0.5652  1 P 1.56
O21 0.5652 0.4175 0.7952  1 P 1.56
O22 0.9175 0.0652 0.2952  1 P 1.56
O23 0.2952 0.9175 0.0652  1 P 1.56
O24 0.0652 0.2952 0.9175  1 P 1.56


(7)
A plane-wave DFT calculation with PBE-GGA was carried out for a geometry-optimized TiNb3P6O24 structure.

Results
* VASP energy: -271.77 eV/cell
* total magnetization: 1.18 μB per formula unit
* mass density: 3.0 g/cm3
* E_form (uncorrected): -2418 meV/atom

abc: 9.0474 9.0474 9.0474
angles: 57.99 57.99 57.99
Closest atoms and distances in Å follow each position.
Fractional positions:
Ti1 0.1422 0.1422 0.1422  6 O 1.95-1.98
Nb1 0.8584 0.8584 0.8584  6 O 1.99-2.02
Nb2 0.6420 0.6420 0.6420  6 O 1.99-2.02
Nb3 0.3590 0.3590 0.3590  6 O 1.99-2.02
P1 0.5263 0.9695 0.2505  4 O 1.52-1.55
P2 0.2505 0.5263 0.9695  4 O 1.52-1.55
P3 0.9695 0.2505 0.5263  4 O 1.52-1.55
P4 0.0322 0.7572 0.4624  4 O 1.52-1.55
P5 0.7572 0.4624 0.0322  4 O 1.52-1.55
P6 0.4624 0.0322 0.7572  4 O 1.52-1.55
O1 0.4946 0.8622 0.7284  1 P 1.54
O2 0.8622 0.7284 0.4946  1 P 1.54
O3 0.7037 0.9389 0.0789  1 P 1.55
O4 0.7284 0.4946 0.8622  1 P 1.54
O5 0.5600 0.7946 0.4226  1 P 1.55
O6 0.3574 0.9964 0.2284  1 P 1.52
O7 0.0789 0.7037 0.9389  1 P 1.55
O8 0.4226 0.5600 0.7946  1 P 1.55
O9 0.7946 0.4226 0.5600  1 P 1.55
O10 0.0043 0.7748 0.6369  1 P 1.54
O11 0.0600 0.9284 0.2911  1 P 1.52
O12 0.7748 0.6369 0.0043  1 P 1.54
O13 0.2284 0.3574 0.9964  1 P 1.52
O14 0.9389 0.0789 0.7037  1 P 1.55
O15 0.9964 0.2284 0.3574  1 P 1.52
O16 0.2063 0.5821 0.4346  1 P 1.55
O17 0.5821 0.4346 0.2063  1 P 1.55
O18 0.9284 0.2911 0.0600  1 P 1.52
O19 0.6369 0.0043 0.7748  1 P 1.54
O20 0.4346 0.2063 0.5821  1 P 1.55
O21 0.2747 0.5030 0.1379  1 P 1.54
O22 0.2911 0.0600 0.9284  1 P 1.52
O23 0.1379 0.2747 0.5030  1 P 1.54
O24 0.5030 0.1379 0.2747  1 P 1.54


(8)
A plane-wave DFT calculation with PBE-GGA was carried out for a geometry-optimized TiNbPO2 structure.

Results
* VASP energy: -39.70 eV/cell
* total magnetization: 1.63 μB per formula unit
* mass density: 4.6 g/cm3
* E_form (uncorrected): -1282 meV/atom
* ΔE to the lowest computed polymorph: 14 meV per atom

abc: 3.7366 3.7366 5.2551
angles: 90.00 90.00 90.00
Closest atoms and distances in Å follow each position.
Fractional positions:
P1 0.0000 0.0000 0.5000  2 Ti 2.63, 4 Nb 2.64
Nb1 0.5000 0.5000 0.5000  4 P 2.64
O1 0.0000 0.5000 0.0000  2 Ti 1.87
O2 0.5000 0.0000 0.0000  2 Ti 1.87
Ti1 0.0000 0.0000 0.0000  4 O 1.87